1.
CoWAu: optimized geometry, GGA-PBE.

a = 2.793 Å, b = 3.709 Å, c = 8.487 Å
α = 90.00°, β = 90.00°, γ = 90.00°
Space group Imm2 (No. 44)
Inequivalent atoms, fractional coordinates:
Co1 0.000 0.000 0.000 x2
W1 0.000 0.000 0.639 x2
Au1 0.000 0.000 0.324 x2

Results
- excess energy over the best structure of this formula in the dataset (meV/atom) = 33.0

***

2.
RbHfSc: optimized geometry, GGA-PBE.

a = 3.393 Å, b = 5.049 Å, c = 13.433 Å
α = 90.00°, β = 90.86°, γ = 90.00°
Space group P2_1/m (No. 11)
Inequivalent atoms, fractional coordinates:
Rb1 0.021 0.250 0.348 x2
Hf1 0.003 0.250 0.055 x2
Sc1 0.492 0.250 0.866 x2

Results
- excess energy over the best structure of this formula in the dataset (meV/atom) = 0.0

***

3.
ScCrPb2: optimized geometry, GGA-PBE.

a = 3.873 Å, b = 3.873 Å, c = 6.335 Å
α = 90.00°, β = 90.00°, γ = 90.00°
Space group P4mm (No. 99)
Inequivalent atoms, fractional coordinates:
Sc1 0.000 0.000 0.000 x1
Cr1 0.500 0.500 0.227 x1
Pb1 0.000 0.000 0.466 x1
Pb2 0.500 0.500 0.763 x1

Results
- excess energy over the best structure of this formula in the dataset (meV/atom) = 102.1

***

4.
Pr3Mg2Ga4: optimized geometry, GGA-PBE.

a = 10.851 Å, b = 4.509 Å, c = 9.208 Å
α = 90.00°, β = 98.24°, γ = 90.00°
Space group C2/m (No. 12)
Inequivalent atoms, fractional coordinates:
Pr1 0.000 0.000 0.000 x2
Pr2 0.131 0.500 0.388 x4
Mg1 0.178 0.500 0.776 x4
Ga1 0.072 0.000 0.641 x4
Ga2 0.204 0.500 0.077 x4

Results
- excess energy over the best structure of this formula in the dataset (meV/atom) = 53.9

***

5.
La9CeDy4: optimized geometry, GGA-PBE.

a = 10.1044 Å, b = 10.1044 Å, c = 11.2579 Å
α = 90.00°, β = 90.00°, γ = 120.00°
Space group P6_3/mmc (No. 194)
Inequivalent atoms, fractional coordinates:
La1 0.0707 0.5354 0.2500 x6
La2 0.2096 0.4192 0.5436 x12
Ce1 0.3333 0.6667 0.7500 x2
Dy1 0.0000 0.0000 0.0000 x2
Dy2 0.1098 0.2196 0.2500 x6

Results
- raw total energy (eV per cell) = -133.59

***

6.
VHIr2Ru: optimized geometry, GGA-PBE.

a = 3.872 Å, b = 3.872 Å, c = 3.910 Å
α = 90.00°, β = 90.00°, γ = 90.00°
Space group P4/mmm (No. 123)
Inequivalent atoms, fractional coordinates:
V1 0.000 0.000 0.000 x1
H1 0.500 0.500 0.500 x1
Ir1 0.000 0.500 0.500 x2
Ru1 0.500 0.500 0.000 x1

Results
- excess energy over the best structure of this formula in the dataset (meV/atom) = 0.0